# NiMoP3 (PBE, relaxed)
# energy relative to the lowest polymorph listed for this composition: 0.0000 eV/atom
# calculated volume: 79 Å³/cell
# DOS(E_F): 0.840 states/eV per atom
data_NiMoP3
_chemical_formula_sum 'Ni1 Mo1 P3'
_cell_length_a 4.298
_cell_length_b 4.298
_cell_length_c 4.298
_cell_angle_alpha 90.00
_cell_angle_beta 90.00
_cell_angle_gamma 90.00
_symmetry_space_group_name_H-M 'P m -3 m'
_symmetry_Int_Tables_number 221
_symmetry_space_group_name_Hall '-P 4 2 3'
loop_
_atom_site_label
_atom_site_fract_x
_atom_site_fract_y
_atom_site_fract_z
_atom_site_occupancy
Ni1 0.000 0.000 0.000 1
Mo1 0.500 0.500 0.500 1
P1 0.000 0.000 0.500 1